A plane-wave DFT calculation with PBE-GGA was carried out for crystalline RbPm2PuO8 at its relaxed geometry.

ΔE_f (raw) = -2471 meV per atom
Space group = P-1 (2)
Magnetic moment = 0.966 Bohr magnetons per cell
Volume = 16.287 Å³ per atom

abc: 4.5663 5.2864 8.1466
angles: 92.43 94.72 93.28
Closest atoms and distances in Å follow each position.
Fractional positions:
Rb1 0.0000 0.0000 0.0000  8 O 2.84-3.10
Pm1 0.4374 0.4727 0.7195  7 O 2.34-2.50
Pm2 0.5626 0.5273 0.2805  7 O 2.34-2.50
Pu1 0.0000 0.0000 0.5000  6 O 1.95-2.13
O1 0.0816 0.7101 0.3222  1 Pu 2.13
O2 0.2076 0.8617 0.6914  1 Pu 1.95
O3 0.3401 0.2459 0.4658  1 Pu 2.01
O4 0.4946 0.6431 0.0014  1 O 1.52
O5 0.5054 0.3569 0.9986  1 O 1.52
O6 0.6599 0.7541 0.5342  1 Pu 2.01
O7 0.7924 0.1383 0.3086  1 Pu 1.95
O8 0.9184 0.2899 0.6778  1 Pu 2.13